A PBEsol-optimized structure of Mg2TaMn, computed with SCAN.

POSCAR file:
```
Mg2TaMn
1.0
6.5077 0.0000 0.0000
0.0000 6.5077 0.0000
0.0000 0.0000 6.5077
Mg Ta Mn
8 4 4
Cartesian
1.6269 1.6269 1.6269
1.6269 1.6269 4.8808
1.6269 4.8808 1.6269
1.6269 4.8808 4.8808
4.8808 1.6269 1.6269
4.8808 1.6269 4.8808
4.8808 4.8808 1.6269
4.8808 4.8808 4.8808
0.0000 0.0000 0.0000
0.0000 3.2538 3.2538
3.2538 0.0000 3.2538
3.2538 3.2538 0.0000
0.0000 0.0000 3.2538
0.0000 3.2538 0.0000
3.2538 0.0000 0.0000
3.2538 3.2538 3.2538
```

Energy relative to the elements = 1.83 eV per formula unit
Relative energy among the computed polymorphs = 354 meV/atom